Record 1
Here is an optimized crystal structure of MnFeHS2 from the Alexandria database. Energies are from GGA-PBEsol.

Unit cell a=3.154 b=4.457 c=4.457 alpha=90.00 beta=90.00 gamma=90.00
Each line ends with the local moment (μB).
Fractional positions:
H 0.500 0.000 0.000  -0.02
S 0.000 0.000 0.500  0.06
S 0.000 0.500 0.000  0.06
Mn 0.000 0.000 0.000  2.61
Fe 0.500 0.500 0.500  3.24

## Properties
The total energy is -5.99 eV per atom. The symmetry is P4/mmm, No. 123. The size of the total moment comes out at 6.21 μB per cell. As for the density of states at the Fermi level: 4.96 states/eV/cell.

Record 2
Here is an optimized crystal structure of MnFeSi2H from the Alexandria database. Energies are from GGA-PBEsol.

Unit cell a=4.253 b=4.253 c=4.434 alpha=90.00 beta=90.00 gamma=90.00
Each line ends with the local moment (μB).
Fractional positions:
H 0.500 0.500 0.500  0.03
Si 0.000 0.500 0.000  0.01
Si 0.500 0.000 0.000  0.01
Mn 0.000 0.000 0.000  0.42
Fe 0.000 0.000 0.500  3.27

## Properties
The total energy is -5.70 eV per atom. The symmetry is P4/mmm, No. 123. The size of the total moment comes out at 3.96 μB per cell. As for the density of states at the Fermi level: 3.78 states/eV/cell.

Record 3
Here is an optimized crystal structure of FeNiH2N from the Alexandria database. Energies are from GGA-PBEsol.

Unit cell a=2.797 b=2.797 c=5.037 alpha=90.00 beta=90.00 gamma=90.00
Each line ends with the local moment (μB).
Fractional positions:
Ni 0.000 0.000 0.000  -0.01
Fe 0.000 0.000 0.500  2.06
H 0.000 0.500 0.000  0.00
H 0.500 0.000 0.000  0.00
N 0.500 0.500 0.500  0.01

## Properties
The total energy is -5.55 eV per atom. The symmetry is P4/mmm, No. 123. The size of the total moment comes out at 2.08 μB per cell. As for the density of states at the Fermi level: 3.36 states/eV/cell.

Record 4
Here is an optimized crystal structure of FeHNO2 from the Alexandria database. Energies are from GGA-PBEsol.

Unit cell a=3.529 b=3.619 c=3.619 alpha=90.00 beta=90.00 gamma=90.00
Each line ends with the local moment (μB).
Fractional positions:
H 0.500 0.500 0.500  0.22
Fe 0.000 0.000 0.000  1.49
O 0.000 0.000 0.500  0.48
O 0.000 0.500 0.000  0.48
N 0.500 0.000 0.000  -0.14

## Properties
The total energy is -5.61 eV per atom. The symmetry is P4/mmm, No. 123. The size of the total moment comes out at 2.98 μB per cell. As for the density of states at the Fermi level: 2.87 states/eV/cell.

Record 5
Here is an optimized crystal structure of FeH10S2N4O8 from the Alexandria database. Energies are from GGA-PBEsol.

Unit cell a=5.368 b=5.735 c=7.341 alpha=91.25 beta=105.80 gamma=98.50
Each line ends with the local moment (μB).
Fractional positions:
Fe 0.000 0.000 0.000  3.57
H 0.109 0.932 0.375  0.00
H 0.891 0.068 0.625  0.00
H 0.441 0.789 0.298  0.00
H 0.559 0.211 0.702  0.00
H 0.282 0.596 0.422  0.00
H 0.718 0.404 0.578  0.00
H 0.892 0.706 0.262  0.00
H 0.108 0.294 0.738  0.00
H 0.230 0.546 0.180  0.00
H 0.770 0.454 0.820  0.00
S 0.633 0.244 0.222  0.01
S 0.367 0.756 0.778  0.01
N 0.061 0.818 0.255  0.03
N 0.939 0.182 0.745  0.03
N 0.265 0.674 0.290  0.00
N 0.735 0.326 0.710  0.00
O 0.812 0.261 0.097  0.04
O 0.188 0.739 0.903  0.04
O 0.356 0.231 0.104  0.04
O 0.644 0.769 0.896  0.04
O 0.664 0.036 0.337  0.00
O 0.336 0.964 0.663  0.00
O 0.702 0.463 0.350  0.01
O 0.298 0.537 0.650  0.01

## Properties
The total energy is -5.90 eV per atom. The symmetry is P-1, No. 2. The size of the total moment comes out at 4.00 μB per cell. As for the density of states at the Fermi level: 5.67 states/eV/cell.

Record 6
Here is an optimized crystal structure of Fe3H10S2NO14 from the Alexandria database. Energies are from GGA-PBEsol.

Unit cell a=7.084 b=7.084 c=7.084 alpha=61.18 beta=61.18 gamma=61.18
Each line ends with the local moment (μB).
Fractional positions:
Fe 0.000 0.498 0.000  3.67
Fe 0.000 0.000 0.498  3.67
Fe 0.498 0.000 0.000  3.67
H 0.097 0.097 0.864  0.00
H 0.864 0.097 0.097  0.00
H 0.317 0.317 0.707  0.01
H 0.707 0.317 0.317  0.01
H 0.693 0.286 0.693  0.01
H 0.097 0.864 0.097  0.00
H 0.317 0.707 0.317  0.01
H 0.286 0.693 0.693  0.01
H 0.693 0.693 0.286  0.01
H 0.940 0.940 0.940  0.00
S 0.311 0.311 0.311  0.01
S 0.690 0.690 0.690  0.01
N 0.000 0.000 0.000  0.01
O 0.170 0.170 0.507  0.07
O 0.507 0.170 0.170  0.07
O 0.170 0.507 0.170  0.07
O 0.397 0.397 0.397  0.04
O 0.268 0.268 0.876  0.14
O 0.876 0.268 0.268  0.14
O 0.732 0.119 0.732  0.14
O 0.268 0.876 0.268  0.14
O 0.732 0.732 0.119  0.14
O 0.119 0.732 0.732  0.14
O 0.603 0.603 0.603  0.04
O 0.831 0.493 0.831  0.08
O 0.493 0.831 0.831  0.08
O 0.831 0.831 0.493  0.08

## Properties
The total energy is -6.13 eV per atom. The symmetry is R3m, No. 160. The size of the total moment comes out at 12.94 μB per cell. As for the density of states at the Fermi level: 9.19 states/eV/cell.

Record 7
Here is an optimized crystal structure of FeH20S2N2O14 from the Alexandria database. Energies are from GGA-PBEsol.

Unit cell a=6.277 b=9.071 c=12.272 alpha=90.00 beta=90.00 gamma=106.84
Each line ends with the local moment (μB).
Fractional positions:
Fe 0.000 0.000 0.000  3.60
Fe 0.000 0.500 0.500  3.60
H 0.188 0.066 0.672  0.00
H 0.812 0.434 0.172  0.00
H 0.812 0.934 0.328  0.00
H 0.188 0.566 0.828  0.00
H 0.387 0.230 0.712  0.00
H 0.613 0.270 0.212  0.00
H 0.613 0.770 0.288  0.00
H 0.387 0.730 0.788  0.00
H 0.454 0.065 0.682  0.00
H 0.546 0.435 0.182  0.00
H 0.546 0.935 0.318  0.00
H 0.454 0.565 0.818  0.00
H 0.375 0.169 0.580  0.00
H 0.625 0.331 0.080  0.00
H 0.625 0.831 0.420  0.00
H 0.375 0.669 0.920  0.00
H 0.329 0.226 0.914  0.00
H 0.671 0.274 0.414  0.00
H 0.671 0.774 0.086  0.00
H 0.329 0.726 0.586  0.00
H 0.099 0.261 0.881  0.00
H 0.901 0.239 0.381  0.00
H 0.901 0.739 0.119  0.00
H 0.099 0.761 0.619  0.00
H 0.936 0.728 0.901  0.00
H 0.064 0.772 0.401  0.00
H 0.064 0.272 0.099  0.00
H 0.936 0.228 0.599  0.00
H 0.989 0.856 0.806  0.00
H 0.011 0.644 0.306  0.00
H 0.011 0.144 0.194  0.00
H 0.989 0.356 0.694  0.00
H 0.340 0.898 0.060  0.00
H 0.660 0.602 0.560  0.00
H 0.660 0.102 0.940  0.00
H 0.340 0.398 0.440  0.00
H 0.326 0.022 0.150  0.00
H 0.674 0.478 0.650  0.00
H 0.674 0.978 0.850  0.00
H 0.326 0.522 0.350  0.00
S 0.736 0.414 0.871  0.00
S 0.264 0.086 0.371  0.00
S 0.264 0.586 0.129  0.00
S 0.736 0.914 0.629  0.00
N 0.351 0.134 0.661  0.00
N 0.649 0.366 0.161  0.00
N 0.649 0.866 0.339  0.00
N 0.351 0.634 0.839  0.00
O 0.588 0.424 0.777  0.00
O 0.412 0.076 0.277  0.00
O 0.412 0.576 0.223  0.00
O 0.588 0.924 0.723  0.00
O 0.786 0.555 0.936  0.00
O 0.214 0.945 0.436  0.00
O 0.214 0.445 0.064  0.00
O 0.786 0.055 0.564  0.00
O 0.613 0.280 0.940  0.00
O 0.387 0.220 0.440  0.00
O 0.387 0.720 0.060  0.00
O 0.613 0.780 0.560  0.00
O 0.944 0.387 0.828  0.00
O 0.056 0.113 0.328  0.00
O 0.056 0.613 0.172  0.00
O 0.944 0.887 0.672  0.00
O 0.172 0.179 0.891  0.04
O 0.828 0.321 0.391  0.04
O 0.828 0.821 0.109  0.04
O 0.172 0.679 0.609  0.04
O 0.028 0.835 0.883  0.04
O 0.972 0.665 0.383  0.04
O 0.972 0.165 0.117  0.04
O 0.028 0.335 0.617  0.04
O 0.299 0.995 0.071  0.04
O 0.701 0.505 0.571  0.04
O 0.701 0.005 0.929  0.04
O 0.299 0.495 0.429  0.04

## Properties
The total energy is -5.51 eV per atom. The symmetry is P2_1/c, No. 14. The size of the total moment comes out at 8.00 μB per cell. As for the density of states at the Fermi level: 12.61 states/eV/cell.

Record 8
Here is an optimized crystal structure of FeH4S2NO8 from the Alexandria database. Energies are from GGA-PBEsol.

Unit cell a=4.674 b=4.674 c=8.566 alpha=74.17 beta=74.17 gamma=60.00
Each line ends with the local moment (μB).
Fractional positions:
Fe 0.999 0.999 0.004  0.89
H 0.544 0.544 0.367  0.00
H 0.610 0.609 0.536  0.00
H 0.609 0.245 0.536  0.00
H 0.245 0.610 0.536  0.00
S 0.266 0.266 0.201  0.00
S 0.731 0.731 0.807  0.00
N 0.502 0.502 0.494  0.00
O 0.207 0.207 0.380  0.01
O 0.791 0.791 0.626  0.00
O 0.603 0.258 0.140  0.01
O 0.999 0.603 0.140  0.01
O 0.258 0.999 0.140  0.01
O 0.743 0.998 0.864  0.01
O 0.998 0.394 0.864  0.01
O 0.394 0.743 0.864  0.01

## Properties
The total energy is -6.18 eV per atom. The symmetry is R3, No. 146. The size of the total moment comes out at 1.00 μB per cell. As for the density of states at the Fermi level: 4.26 states/eV/cell.